Entry from the Alexandria database: an optimized crystal structure of ZrSc6Pa (PBE).

POSCAR file:
```
ZrSc6Pa
1.0
7.522 -0.633 2.831
-0.137 5.823 -0.052
2.265 -0.316 5.390
Sc Pa Zr
6 1 1
Direct
0.652 0.708 0.000 Sc
0.851 0.216 0.633 Sc
0.348 0.292 0.000 Sc
0.516 0.784 0.633 Sc
0.484 0.216 0.367 Sc
0.149 0.784 0.367 Sc
0.000 0.500 0.000 Pa
0.000 0.000 0.000 Zr
```

Output
Crystal system = monoclinic
Uncorrected energy = -54.93 eV for the cell shown
V = 24.79 Å³/atom
Formation enthalpy at 0 K = 0.138 eV per atom